[1]
Compound: InHgBr2
Source: Alexandria
Functional: SCAN
Structure: PBEsol geometry

The structure in POSCAR format:
```
InHgBr2
1.0
-2.061 2.776 -1.415
-1.865 -3.113 0.887
-1.396 3.207 8.323
Br Hg In
2 1 1
Direct
0.500 0.500 0.700
0.000 0.000 0.045
0.000 0.000 0.494
0.500 0.500 0.261
```

Mass density ... 6951 kg/m³
Energy above the most stable polymorph in this dataset ... 0.156 eV per atom

***

[2]
Compound: Ir3Au
Source: Alexandria
Functional: SCAN
Structure: PBEsol geometry

The structure in POSCAR format:
```
Ir3Au
1.0
-0.624 2.344 -1.310
-3.604 -1.206 -0.443
-1.386 2.354 4.871
Ir Au
3 1
Direct
0.000 0.000 0.500
0.500 0.500 0.737
0.500 0.500 0.263
0.000 0.000 0.000
```

Mass density ... 21807 kg/m³
ΔE_f ... 0.300 eV/atom

***

[3]
Compound: KTe2F
Source: Alexandria
Functional: SCAN
Structure: PBEsol geometry

The structure in POSCAR format:
```
KTe2F
1.0
-3.684 -3.433 -1.158
-0.567 -1.638 -4.868
1.286 -4.843 -1.262
Te F K
2 1 1
Direct
0.250 0.250 0.250
0.750 0.750 0.750
0.000 0.000 0.000
0.500 0.500 0.500
```

Mass density ... 5333 kg/m³
Energy above the most stable polymorph in this dataset ... 0.869 eV per atom

***

[4]
Compound: BeAl2Hg
Source: Alexandria
Functional: SCAN
Structure: PBEsol geometry

The structure in POSCAR format:
```
BeAl2Hg
1.0
3.047 0.000 0.000
1.524 2.639 0.000
1.524 0.880 8.041
Be Al Hg
1 2 1
Direct
0.500 0.500 0.500
0.240 0.240 0.281
0.760 0.760 0.719
0.000 0.000 0.000
```

Mass density ... 6767 kg/m³
Energy above the most stable polymorph in this dataset ... 0.000 eV per atom
ΔE_f ... 0.207 eV/atom

***

[5]
Compound: TaFe2IrAu
Source: Alexandria
Functional: SCAN
Structure: PBEsol geometry

The structure in POSCAR format:
```
TaFe2IrAu
1.0
4.437 0.000 0.000
0.000 4.437 0.000
0.000 0.000 4.895
Fe Ir Ta Au
2 1 1 1
Direct
0.000 0.500 0.000
0.500 0.000 0.000
0.000 0.000 0.500
0.500 0.500 0.500
0.000 0.000 0.000
```

Mass density ... 11750 kg/m³
ΔE_f ... 1.628 eV/atom

***

[6]
Compound: Ta2CdAg
Source: Alexandria
Functional: SCAN
Structure: PBEsol geometry

The structure in POSCAR format:
```
Ta2CdAg
1.0
4.070 0.000 0.000
0.000 4.070 0.000
-2.035 -2.035 4.276
Ta Ag Cd
2 1 1
Direct
0.750 0.250 0.500
0.000 0.000 0.000
0.500 0.500 0.000
0.250 0.750 0.500
```

Mass density ... 13648 kg/m³
ΔE_f ... 0.487 eV/atom

***

[7]
Compound: LiBC
Source: Alexandria
Functional: SCAN
Structure: PBEsol geometry

The structure in POSCAR format:
```
LiBC
1.0
2.740 0.000 0.000
-1.370 2.373 0.000
0.000 0.000 6.940
C B Li
2 2 2
Direct
0.667 0.333 0.750
0.333 0.667 0.250
0.333 0.667 0.750
0.667 0.333 0.250
0.000 0.000 0.000
0.000 0.000 0.500
```

Mass density ... 2191 kg/m³
ΔE_f ... -0.468 eV/atom

***

[8]
Compound: LiReNi2
Source: Alexandria
Functional: SCAN
Structure: PBEsol geometry

The structure in POSCAR format:
```
LiReNi2
1.0
2.535 0.000 0.000
0.000 3.649 0.000
0.000 0.000 5.110
Li Ni Re
1 2 1
Direct
0.500 0.500 0.500
0.000 0.000 0.241
0.000 0.000 0.759
0.500 0.500 0.000
```

Mass density ... 10911 kg/m³
Energy above the most stable polymorph in this dataset ... 0.106 eV per atom
ΔE_f ... 0.116 eV/atom

***

Which of these has the lowest mass density? LiBC